[1]
Compound: ErPaB2O8
Source: the Alexandria database
Functional: PBE-GGA
Structure: relaxed

abc: 6.444 6.444 6.444
angles: 137.54 137.54 61.60
Fractional positions:
Er  0.000  0.000  0.000
Pa  0.750  0.250  0.500
B  0.250  0.750  0.500
B  0.500  0.500  0.000
O  0.061  0.926  0.625
O  0.074  0.699  0.135
O  0.185  0.313  0.642
O  0.301  0.435  0.375
O  0.457  0.815  0.128
O  0.565  0.939  0.865
O  0.671  0.543  0.358
O  0.687  0.329  0.872

## Properties
crystal system = tetragonal
ΔE_f (raw) = -251.02 kJ per mole of atoms
space-group type = No. 82



[2]
Compound: CsTlBr2
Source: the Alexandria database
Functional: PBE-GGA
Structure: relaxed

abc: 5.501 5.501 13.633
angles: 91.42 91.42 89.98
Fractional positions:
Cs  0.244  0.244  0.363
Cs  0.756  0.756  0.637
Tl  0.246  0.246  0.886
Tl  0.754  0.754  0.114
Br  0.250  0.750  0.000
Br  0.257  0.257  0.623
Br  0.743  0.743  0.377
Br  0.750  0.250  0.000

## Properties
crystal system = monoclinic
ΔE_f (raw) = -119.56 kJ per mole of atoms
space-group type = No. 12



[3]
Compound: Ho4Hg3Os
Source: the Alexandria database
Functional: PBE-GGA
Structure: relaxed

abc: 3.528 3.528 15.357
angles: 90.00 90.00 90.00
Fractional positions:
Ho  0.000  0.000  0.105
Ho  0.000  0.000  0.371
Ho  0.000  0.000  0.629
Ho  0.000  0.000  0.895
Hg  0.500  0.500  0.244
Hg  0.500  0.500  0.500
Hg  0.500  0.500  0.756
Os  0.500  0.500  0.000

## Properties
crystal system = tetragonal
space-group type = No. 123
E_form = -42 kJ/mol of atoms



[4]
Compound: K2BeZn
Source: the Alexandria database
Functional: PBE-GGA
Structure: relaxed

abc: 7.259 7.259 7.259
angles: 101.00 101.00 128.21
Fractional positions:
K  0.112  0.125  0.487
K  0.375  0.888  0.013
K  0.638  0.625  0.513
K  0.875  0.362  0.987
Be  0.000  0.000  0.000
Be  0.750  0.250  0.500
Zn  0.250  0.750  0.500
Zn  0.500  0.500  0.000

## Properties
crystal system = tetragonal
space-group type = No. 122
E_form = 75 kJ/mol of atoms
E above lowest polymorph = 408 meV per atom



[5]
Compound: DyGaTc
Source: the Alexandria database
Functional: PBE-GGA
Structure: relaxed

abc: 5.387 5.387 5.387
angles: 120.64 117.41 91.72
Fractional positions:
Dy  0.364  0.114  0.250
Dy  0.636  0.886  0.750
Ga  0.000  0.500  0.500
Ga  0.500  0.500  0.000
Tc  0.000  0.000  0.500
Tc  0.000  0.500  0.000

## Properties
crystal system = orthorhombic
space-group type = No. 74
E_form = -44 kJ/mol of atoms
E above lowest polymorph = 0 meV per atom



[6]
Compound: Ce3Tl4CdSe8
Source: the Alexandria database
Functional: PBE-GGA
Structure: relaxed

abc: 8.549 8.549 9.172
angles: 117.76 117.76 60.00
Fractional positions:
Ce  0.000  0.000  0.000
Ce  0.000  0.500  0.000
Ce  0.500  0.000  0.000
Tl  0.000  0.000  0.500
Tl  0.000  0.500  0.500
Tl  0.500  0.000  0.500
Tl  0.500  0.500  0.500
Cd  0.500  0.500  0.000
Se  0.236  0.236  0.210
Se  0.236  0.736  0.207
Se  0.263  0.263  0.792
Se  0.264  0.764  0.793
Se  0.736  0.236  0.207
Se  0.737  0.737  0.208
Se  0.764  0.264  0.793
Se  0.764  0.764  0.790

## Properties
crystal system = monoclinic
ΔE_f (raw) = -108.74 kJ per mole of atoms
space-group type = No. 12



[7]
Compound: Tm4RhSe2
Source: the Alexandria database
Functional: PBE-GGA
Structure: relaxed

abc: 6.753 6.753 13.974
angles: 90.00 90.00 147.47
Fractional positions:
Tm  0.000  0.000  0.000
Tm  0.000  0.000  0.500
Tm  0.296  0.704  0.630
Tm  0.296  0.704  0.870
Tm  0.451  0.549  0.250
Tm  0.549  0.451  0.750
Tm  0.704  0.296  0.130
Tm  0.704  0.296  0.370
Rh  0.105  0.895  0.250
Rh  0.895  0.105  0.750
Se  0.358  0.642  0.065
Se  0.358  0.642  0.435
Se  0.642  0.358  0.565
Se  0.642  0.358  0.935

## Properties
crystal system = orthorhombic
ΔE_f (raw) = -118.46 kJ per mole of atoms
space-group type = No. 63



[8]
Compound: HfCuSb2I
Source: the Alexandria database
Functional: PBE-GGA
Structure: relaxed

abc: 5.020 5.020 5.273
angles: 90.00 90.00 90.00
Fractional positions:
Hf  0.000  0.000  0.000
Cu  0.500  0.500  0.500
Sb  0.000  0.500  0.500
Sb  0.500  0.000  0.500
I  0.500  0.500  0.000

## Properties
crystal system = tetragonal
ΔE_f (raw) = 63.60 kJ per mole of atoms
space-group type = No. 123
E above lowest polymorph = 92 meV per atom



| no. | magnetization (μB/f.u.) |
| --- | --- |
| 1 | 2.05 |
| 2 | 0.00 |
| 3 | 0.00 |
| 4 | 0.00 |
| 5 | 0.00 |
| 6 | 2.01 |
| 7 | 0.00 |
| 8 | 0.00 |